(1)
Material: Cd6Ga2Hg
Method: DFT, PBE
State: relaxed

POSCAR file:
```
Cd6Ga2Hg
1.0
-0.2176 -0.0071 -6.8961
4.5484 -3.0524 -2.0193
-2.1616 -5.1138 -1.8054
Cd Ga Hg
6 2 1
Cartesian
-0.1614 -5.2953 -4.0469
1.7769 -6.4220 -6.1513
2.8680 -4.3647 -4.1435
2.3306 -2.8779 -6.6740
0.3923 -1.7512 -4.5696
-0.6988 -3.8085 -6.5774
1.3597 -5.3245 -8.6613
0.8095 -2.8487 -2.0595
0.0000 0.0000 0.0000
```

The space group is No. 12. As for the volume: 23.0 Å³ per atom. The value obtained for the calculated formation energy is 6.4 kJ per mole of atoms. As for the uncorrected energy: -1.250 eV/atom. The density of states at the Fermi level comes out at 4.0 states/eV/cell. As for the energy relative to the lowest polymorph listed for this composition: 0.026 eV/atom.

---

(2)
Material: Cd5GaHg4
Method: DFT, PBE
State: relaxed

POSCAR file:
```
Cd5GaHg4
1.0
-3.5042 1.2785 0.9587
-4.6975 -8.2573 1.5776
-1.2499 -3.0573 7.2445
Cd Ga Hg
5 1 4
Cartesian
-5.7821 -9.2852 6.7202
-3.6696 -0.7509 3.0606
-3.9379 -4.7207 7.3738
-2.9737 -5.6573 4.4111
-5.5138 -5.3154 2.4070
0.0000 0.0000 0.0000
-3.7484 -2.6657 5.3262
-2.8249 -3.6647 2.2978
-6.6268 -6.3714 7.4831
-5.7033 -7.3704 4.4547
```

The space group is No. 12. As for the volume: 23.8 Å³ per atom. The value obtained for the calculated formation energy is 3.3 kJ per mole of atoms. As for the uncorrected energy: -0.847 eV/atom. The density of states at the Fermi level comes out at 2.8 states/eV/cell. As for the energy relative to the lowest polymorph listed for this composition: 0.000 eV/atom.

---

(3)
Material: Cd6GaHg12
Method: DFT, PBE
State: relaxed

POSCAR file:
```
Cd6GaHg12
1.0
7.8629 1.0697 1.2815
-0.1347 7.9342 1.2815
-0.1347 -0.1569 8.0355
Cd Ga Hg
6 1 12
Cartesian
5.8776 7.8745 4.7421
5.2636 2.5433 2.0033
0.7011 5.4327 2.8603
1.7159 0.9725 5.8564
2.3299 6.3037 8.5951
6.8924 3.4143 7.7382
0.0000 0.0000 0.0000
6.0640 4.8821 5.2654
3.3391 6.6471 5.7444
3.9063 3.9773 7.5666
1.5295 3.9649 5.3331
4.2544 2.1999 4.8541
3.6872 4.8697 3.0319
1.1451 0.1859 3.0325
7.5833 6.0706 8.9152
4.8508 7.2678 9.8736
6.4484 8.6611 7.5660
0.0102 2.7764 1.6833
2.7427 1.5792 0.7248
```

The space group is No. 148. As for the volume: 26.6 Å³ per atom. The value obtained for the calculated formation energy is 4.0 kJ per mole of atoms. As for the uncorrected energy: -0.597 eV/atom. The density of states at the Fermi level comes out at 7.4 states/eV/cell. As for the energy relative to the lowest polymorph listed for this composition: 0.000 eV/atom.

---

(4)
Material: Cd12Ga2Hg5
Method: DFT, PBE
State: relaxed

POSCAR file:
```
Cd12Ga2Hg5
1.0
-4.2847 5.9304 6.3830
0.4169 -3.6843 8.9734
4.0917 2.5561 2.0610
Cd Ga Hg
12 2 5
Cartesian
3.4825 2.6578 3.5441
1.7561 1.1974 13.0217
-0.6073 6.0304 11.7196
0.4792 -0.0785 10.6679
-1.8970 4.7809 9.3586
0.7920 3.0975 10.0590
-0.5681 1.7048 7.3584
-0.2554 4.8807 6.7496
2.1208 0.0213 8.0589
-1.5322 3.6049 4.3957
0.8311 -1.2282 5.6979
-3.2586 2.1444 13.8733
-3.0819 3.4707 7.0457
-0.7859 -1.2246 8.3107
-0.5870 3.2779 13.2315
-1.9283 1.8983 10.5455
2.0458 1.2781 1.0305
2.1522 2.9039 6.8720
0.8108 1.5243 4.1859
```

The space group is No. 12. As for the volume: 23.5 Å³ per atom. The value obtained for the calculated formation energy is 3.9 kJ per mole of atoms. As for the uncorrected energy: -0.936 eV/atom. The density of states at the Fermi level comes out at 5.9 states/eV/cell. As for the energy relative to the lowest polymorph listed for this composition: 0.000 eV/atom.

---

(5)
Material: Cd2GaHg
Method: DFT, PBE
State: relaxed

POSCAR file:
```
Cd2GaHg
1.0
-2.6527 3.5323 -0.0169
-3.1937 -2.3893 1.8989
6.0942 1.8499 7.4390
Cd Ga Hg
4 2 2
Cartesian
2.3508 1.7951 6.2124
-2.1030 1.1978 3.1086
-1.3263 1.7662 -0.0084
-1.5969 -1.1947 0.9494
0.2591 2.9768 4.1816
-0.0114 0.0160 5.1394
0.8047 0.6144 2.1265
-0.5569 2.3784 7.1945
```

The space group is No. 139. As for the volume: 22.6 Å³ per atom. The value obtained for the calculated formation energy is 3.8 kJ per mole of atoms. As for the uncorrected energy: -1.251 eV/atom. The density of states at the Fermi level comes out at 1.7 states/eV/cell. As for the energy relative to the lowest polymorph listed for this composition: 0.000 eV/atom.

---

(6)
Material: Cd8GaHg2
Method: DFT, PBE
State: relaxed

POSCAR file:
```
Cd8GaHg2
1.0
0.6372 0.4532 -5.2275
1.9014 -7.7537 -0.4404
-7.6215 3.6671 2.0611
Hg Ga Cd
2 1 8
Cartesian
-0.6368 -4.4769 -0.4657
-4.4461 0.8436 -3.1410
0.3186 0.2266 -2.6138
0.8172 -5.1017 -3.0149
-2.9760 -2.6319 -0.5909
-3.0158 0.3627 -0.3362
-0.1237 -1.4918 -0.1444
-2.0670 -3.9960 -3.2706
-2.1069 -1.0014 -3.0159
-5.9001 1.4683 -0.5919
-4.9591 -2.1416 -3.4624
```

The space group is No. 12. As for the volume: 23.9 Å³ per atom. The value obtained for the calculated formation energy is 4.4 kJ per mole of atoms. As for the uncorrected energy: -0.950 eV/atom. The density of states at the Fermi level comes out at 3.8 states/eV/cell. As for the energy relative to the lowest polymorph listed for this composition: 0.000 eV/atom.

---

(7)
Material: Cd3Ga2Hg6
Method: DFT, PBE
State: relaxed

POSCAR file:
```
Cd3Ga2Hg6
1.0
-4.4367 3.0080 -1.3935
-3.1530 -4.5480 0.2215
1.9542 2.5151 10.2135
Cd Ga Hg
3 2 6
Cartesian
0.0000 0.0000 0.0000
-5.0712 0.4401 6.0899
-0.5643 0.5350 2.9516
-1.6015 1.5183 8.3763
-4.0341 -0.5432 0.6652
-1.9041 -1.9634 1.8241
-2.5460 1.8146 1.0166
-3.7315 2.9385 7.2174
-3.0896 -0.8395 8.0249
-4.5521 -0.0521 3.3748
-1.0834 1.0272 5.6667
```

The space group is No. 139. As for the volume: 27.8 Å³ per atom. The value obtained for the calculated formation energy is 7.9 kJ per mole of atoms. As for the uncorrected energy: -0.882 eV/atom. The density of states at the Fermi level comes out at 3.8 states/eV/cell. As for the energy relative to the lowest polymorph listed for this composition: 0.044 eV/atom.

---

(8)
Material: CdGa3Hg3
Method: DFT, PBE
State: relaxed

POSCAR file:
```
CdGa3Hg3
1.0
7.6449 0.0000 0.0000
0.0000 7.6449 0.0000
0.0000 0.0000 7.6449
Hg Ga Cd
6 6 2
Cartesian
0.0000 1.9112 3.8224
0.0000 5.7337 3.8224
3.8224 0.0000 5.7337
5.7337 3.8224 0.0000
3.8224 0.0000 1.9112
1.9112 3.8224 0.0000
1.9112 0.0000 3.8224
0.0000 3.8224 1.9112
3.8224 5.7337 0.0000
5.7337 0.0000 3.8224
0.0000 3.8224 5.7337
3.8224 1.9112 0.0000
3.8224 3.8224 3.8224
0.0000 0.0000 0.0000
```

The space group is No. 223. As for the volume: 31.9 Å³ per atom. The value obtained for the calculated formation energy is 32.0 kJ per mole of atoms. As for the uncorrected energy: -1.226 eV/atom. The density of states at the Fermi level comes out at 8.5 states/eV/cell.

---

(9)
Material: Cd5Ga12Hg3
Method: DFT, PBE
State: relaxed

POSCAR file:
```
Cd5Ga12Hg3
1.0
13.8591 0.0000 0.0000
-4.6197 13.0665 0.0000
-4.6197 -6.5333 11.3159
Hg Cd Ga
12 20 48
Cartesian
8.0845 4.0833 1.4145
8.0845 8.9832 1.4145
-1.1549 5.7166 7.0725
1.1549 -0.8167 4.2435
10.3943 0.0000 2.8290
1.1549 6.5333 2.8290
3.4648 0.0000 8.4869
-5.7746 6.5333 8.4869
3.4648 7.3499 7.0725
5.7746 0.8167 4.2435
-3.4648 -2.4500 9.9014
-3.4648 2.4500 9.9014
-1.1549 3.2666 2.8290
-2.3099 6.5333 0.0000
0.0000 0.0000 0.0000
3.4648 2.4500 1.4145
4.6197 -3.2666 5.6580
4.6197 6.5333 0.0000
-3.4648 7.3499 4.2435
5.7746 -4.0833 9.9014
5.7746 5.7166 4.2435
1.1549 -3.2666 8.4869
3.4648 9.7999 2.8290
2.3099 3.2666 5.6580
6.9296 0.0000 0.0000
-2.3099 -3.2666 5.6580
-1.1549 0.8167 7.0725
-1.1549 10.6165 1.4145
-4.6197 3.2666 5.6580
8.0845 -0.8167 7.0725
1.1549 4.0833 9.9014
5.7746 3.2666 8.4869
9.1537 1.4399 0.7908
0.0857 4.6714 4.8064
10.0139 2.8869 3.0309
6.1551 2.0852 1.6423
1.6937 5.2399 7.4942
9.4835 6.4564 1.8363
-0.7745 7.3350 4.6733
-3.8452 10.9813 1.6423
0.6161 7.8266 7.4942
6.6855 6.6101 1.8363
7.0153 3.3017 4.0156
7.0153 11.6267 0.7908
-4.0036 5.8435 6.4487
2.5539 4.9814 0.9847
-4.7054 9.7648 4.0156
2.3956 -1.8619 6.5095
-0.6161 0.6036 2.6270
2.5539 8.1619 0.8516
6.1551 10.1796 3.0309
-0.2441 4.9046 0.8516
-2.9260 7.1369 8.6889
3.0843 5.7315 4.6733
6.3134 7.2230 6.4487
4.8638 -1.5518 10.3312
1.5354 0.8017 6.6427
-1.6937 -0.6897 4.8672
-0.2441 8.0851 0.9847
-1.5354 -3.6463 8.2850
7.5457 -0.6036 2.6270
4.8638 1.6287 10.4644
2.0658 -1.6287 10.4644
2.2241 8.3951 4.8064
5.2358 5.9296 8.6889
9.3251 -3.2315 7.3003
8.6233 0.6897 4.8672
-2.3956 -5.0934 10.5252
2.0658 1.5518 10.3312
4.0036 -1.2934 3.8217
-2.0658 -0.0769 9.4797
-2.3956 3.2315 7.3003
8.4649 -4.4480 9.6736
5.3942 -0.8017 6.6427
-1.5354 4.4480 9.6736
-4.8638 0.0769 9.4797
2.9260 1.2934 3.8217
-5.3942 3.6463 8.2850
4.5340 1.8619 6.5095
-4.5340 5.0934 10.5252
```

The space group is No. 230. As for the volume: 25.6 Å³ per atom. The value obtained for the calculated formation energy is 20.1 kJ per mole of atoms. As for the uncorrected energy: -1.882 eV/atom. The density of states at the Fermi level comes out at 55.8 states/eV/cell.

---

(10)
Material: Cd4Ga2Hg3
Method: DFT, PBE
State: relaxed

POSCAR file:
```
Cd4Ga2Hg3
1.0
-3.5266 4.5964 -1.9544
-1.2075 1.6553 8.3367
6.3532 5.0789 2.7456
Cd Ga Hg
8 4 6
Cartesian
-0.9702 5.0924 6.6420
-3.2563 6.6879 4.5274
2.5893 6.2382 2.4859
4.8754 4.6427 4.6005
2.4871 3.1960 2.5695
3.2175 6.8879 5.8182
-0.8680 8.1346 6.5583
-1.5984 4.4427 3.3097
0.2312 5.1249 1.0511
1.6505 9.4213 5.6015
1.3879 6.2057 8.0767
-0.0314 1.9093 3.5264
0.8870 1.2148 0.8868
3.3874 8.2215 8.5586
0.7321 10.1158 8.2410
-1.7683 3.1091 0.5693
1.5732 4.4629 5.1399
0.0459 6.8677 3.9880
```

The space group is No. 15. As for the volume: 23.6 Å³ per atom. The value obtained for the calculated formation energy is 4.5 kJ per mole of atoms. As for the uncorrected energy: -1.134 eV/atom. The density of states at the Fermi level comes out at 4.7 states/eV/cell.

---

(11)
Material: Cd7GaHg6
Method: DFT, PBE
State: relaxed

POSCAR file:
```
Cd7GaHg6
1.0
-6.0402 -1.2346 0.0152
-2.0483 -5.2428 10.5070
-5.3130 10.5837 -1.3554
Cd Ga Hg
14 2 12
Cartesian
-9.8748 9.4862 -1.2252
-3.5267 -5.3799 10.3919
-8.1138 1.5993 4.7057
-5.2876 2.5070 4.4610
-5.0752 -2.3943 6.1909
-7.9827 4.7904 0.5996
-11.4390 6.3322 2.6469
-8.3463 -1.7504 8.9112
-8.3263 6.5006 2.9758
-5.4188 -0.6841 8.5671
-1.9625 -2.2259 6.5198
-5.0552 5.8566 0.2556
-3.3504 1.0266 2.2917
-10.0511 3.0797 6.8751
-6.3705 0.4093 2.2993
-7.0310 3.6970 6.8675
-4.4660 -1.7263 3.1252
-2.0493 2.8568 0.1762
-7.4655 -1.3789 4.4143
-5.4608 3.1200 1.4662
-8.9354 5.8326 6.0415
-11.3521 1.2495 8.9906
-5.9360 5.4852 4.7525
-7.9407 0.9863 7.7005
-4.0543 0.4518 6.1185
-9.3472 3.6545 3.0482
-7.1114 8.0738 0.1909
-6.2901 -3.9675 8.9758
```

The space group is No. 72. As for the volume: 25.0 Å³ per atom. The value obtained for the calculated formation energy is 4.9 kJ per mole of atoms. As for the uncorrected energy: -0.753 eV/atom. The density of states at the Fermi level comes out at 9.9 states/eV/cell.

---

(12)
Material: Cd10Ga3Hg3
Method: DFT, PBE
State: relaxed

POSCAR file:
```
Cd10Ga3Hg3
1.0
6.1068 0.0000 0.0000
0.0000 7.2935 -4.2109
0.0000 0.0000 8.4218
Cd Ga Hg
10 3 3
Cartesian
1.4783 4.8623 0.0000
1.4783 2.4312 4.2109
4.6285 2.4312 4.2109
4.6285 4.8623 0.0000
3.0534 0.0000 6.5792
3.0534 5.6978 -3.2896
3.0534 1.5957 0.9213
0.0000 0.0000 1.8595
0.0000 1.6104 -0.9298
0.0000 5.6831 3.2811
0.0000 0.0000 5.0328
0.0000 4.3585 -2.5164
0.0000 2.9350 1.6945
3.0534 0.0000 3.4473
3.0534 2.9855 -1.7237
3.0534 4.3080 2.4872
```

The space group is No. 189. As for the volume: 23.4 Å³ per atom. The value obtained for the calculated formation energy is 7.5 kJ per mole of atoms. As for the uncorrected energy: -1.118 eV/atom. The density of states at the Fermi level comes out at 7.2 states/eV/cell.